# 1
Compound: Ni3Ag2S4
Source: Alexandria
Functional: PBE-GGA
Structure: relaxed

abc: 5.954 5.954 5.939
angles: 100.83 100.83 128.69
Element x y z (fractional)
Ni 0.500 0.000 0.000
Ni 0.000 0.000 0.000
Ni 0.000 0.500 0.000
Ag 0.630 0.630 0.260
Ag 0.370 0.370 0.740
S 0.014 0.711 0.725
S 0.711 0.014 0.725
S 0.986 0.289 0.275
S 0.289 0.986 0.275

## Properties
As for the crystal system: orthorhombic. The space group is Fmmm (69). As for the uncorrected formation energy: -181 meV per atom.

# 2
Compound: TbNdSm3Th
Source: Alexandria
Functional: PBE-GGA
Structure: relaxed

abc: 5.702 10.590 6.975
angles: 88.49 90.00 105.62
Element x y z (fractional)
Tb 0.649 0.298 0.476
Tb 0.351 0.702 0.524
Nd 0.355 0.710 0.957
Nd 0.645 0.290 0.043
Sm 0.842 0.684 0.254
Sm 0.780 0.560 0.753
Sm 0.480 0.960 0.250
Sm 0.220 0.440 0.247
Sm 0.520 0.040 0.750
Sm 0.158 0.316 0.746
Th 0.057 0.114 0.284
Th 0.943 0.886 0.716

## Properties
As for the crystal system: monoclinic. The calculation puts the energy of formation from the pure elements at 0.21 eV per atom. The space group is C2/m (12).

# 3
Compound: Sm3Zn9Ru2
Source: Alexandria
Functional: PBE-GGA
Structure: relaxed

abc: 4.376 8.134 8.134
angles: 69.47 74.40 74.40
Element x y z (fractional)
Sm 0.000 0.000 0.000
Sm 0.693 0.307 0.307
Sm 0.307 0.693 0.693
Zn 0.000 0.500 0.500
Zn 0.659 0.983 0.699
Zn 0.341 0.017 0.301
Zn 0.659 0.699 0.983
Zn 0.341 0.301 0.017
Zn 0.877 0.845 0.402
Zn 0.123 0.155 0.598
Zn 0.877 0.402 0.845
Zn 0.123 0.598 0.155
Ru 0.500 0.321 0.679
Ru 0.500 0.679 0.321

## Properties
As for the crystal system: orthorhombic. The calculation puts the energy of formation from the pure elements at -0.29 eV per atom. The space group is Immm (71).

# 4
Compound: Ba2LaAu
Source: Alexandria
Functional: PBE-GGA
Structure: relaxed

abc: 5.797 5.797 5.797
angles: 60.00 60.00 60.00
Element x y z (fractional)
Au 0.500 0.500 0.500
Ba 0.000 0.000 0.000
Ba 0.250 0.250 0.250
La 0.750 0.750 0.750

## Properties
As for the crystal system: cubic. The calculation puts the energy of formation from the pure elements at 0.00 eV per atom. The space group is F-43m (216).

# 5
Compound: LaTcSb3
Source: Alexandria
Functional: PBE-GGA
Structure: relaxed

abc: 5.956 5.956 5.956
angles: 90.00 90.00 90.00
Each line ends with the local moment (μB).
Element x y z (fractional)
Sb 0.000 0.500 0.000  -0.03
Sb 0.000 0.000 0.500  -0.07
Sb 0.500 0.000 0.000  -0.01
Tc 0.500 0.500 0.500  3.92
La 0.000 0.000 0.000  0.02

## Properties
As for the crystal system: cubic. The space group is Pm-3m (221). As for the uncorrected formation energy: 1370 meV per atom.

# 6
Compound: CrRePPt2
Source: Alexandria
Functional: PBE-GGA
Structure: relaxed

abc: 4.475 4.393 4.475
angles: 90.00 90.00 90.00
Each line ends with the local moment (μB).
Element x y z (fractional)
Re 0.000 0.500 0.000  -0.54
P 0.000 0.000 0.000  0.03
Pt 0.000 0.000 0.500  0.03
Pt 0.500 0.000 0.000  0.02
Cr 0.500 0.500 0.500  3.71

## Properties
As for the crystal system: tetragonal. The calculation puts the energy of formation from the pure elements at 0.50 eV per atom. The space group is P4/mmm (123).

# 7
Compound: MgTaOs2
Source: Alexandria
Functional: PBE-GGA
Structure: relaxed

abc: 5.272 5.272 4.377
angles: 65.45 65.45 35.00
Element x y z (fractional)
Mg 0.745 0.745 0.754
Os 0.994 0.994 0.006
Os 0.249 0.249 0.251
Ta 0.511 0.511 0.489

## Properties
As for the crystal system: orthorhombic. The calculation puts the energy of formation from the pure elements at 0.00 eV per atom. The space group is Imm2 (44).

# 8
Compound: CdTcRu2
Source: Alexandria
Functional: PBE-GGA
Structure: relaxed

abc: 4.982 4.982 4.982
angles: 134.73 134.73 65.95
Element x y z (fractional)
Cd 0.750 0.250 0.500
Ru 0.000 0.000 0.000
Ru 0.250 0.750 0.500
Tc 0.500 0.500 0.000

## Properties
As for the crystal system: tetragonal. The calculation puts the energy of formation from the pure elements at 0.44 eV per atom. The space group is I-4m2 (119).